1.
! PBE RbPmAl, optimized geometry; values from VASP
! E, eV/atom: -2.40
! ρ, g/cm3: 3.78
! SG: F-43m (216)
&SYSTEM
  ibrav = 0, nat = 3, ntyp = 3
/
ATOMIC_SPECIES
Pm 145.00 Pm.upf
Al 26.98 Al.upf
Rb 85.47 Rb.upf
CELL_PARAMETERS angstrom
-2.6090 2.6554 3.9496
-4.2347 3.1747 -1.2026
-5.0141 -1.5070 1.4302
ATOMIC_POSITIONS crystal
Pm 0.0000 0.0000 0.0000
Al 0.2500 0.2500 0.2500
Rb 0.7500 0.7500 0.7500

2.
! PBE PmAl5Re3, optimized geometry; values from VASP
! E, eV/atom: -6.29
! ρ, g/cm3: 8.92
! SG: P-62m (189)
&SYSTEM
  ibrav = 0, nat = 9, ntyp = 3
/
ATOMIC_SPECIES
Al 26.98 Al.upf
Re 186.21 Re.upf
Pm 145.00 Pm.upf
CELL_PARAMETERS angstrom
-3.4932 -4.2246 -3.6105
0.2632 -0.6922 6.5221
-3.3687 2.4473 0.3957
ATOMIC_POSITIONS crystal
Al 0.2660 0.0000 0.0000
Al 0.7340 0.7340 0.0000
Al 0.0000 0.2660 0.0000
Al 0.6667 0.3333 0.0000
Al 0.3333 0.6667 0.0000
Re 0.5048 0.5048 0.5000
Re 0.4952 0.0000 0.5000
Re 0.0000 0.4952 0.5000
Pm 0.0000 0.0000 0.5000

What is the formula in the first record? RbPmAl